Here is TbPm2Dy6Tm after structural relaxation from Alexandria via LeMat-Bulk. Energies are from PBE.

Cell: 8.7631 8.7631 9.6489 Å, 94.43 94.43 118.10°
Closest atoms and distances in Å follow each position.
Fractional positions:
Tb1 0.0191 0.9809 0.7500  4 Pm 3.36-3.38, 4 Dy 3.57-3.65
Tb2 0.9809 0.0191 0.2500  4 Pm 3.36-3.38, 4 Dy 3.57-3.65
Pm1 0.1955 0.2990 0.5428  5 Dy 3.24-3.51, 2 Tb 3.36-3.38, 1 Tm 3.54
Pm2 0.2990 0.1955 0.0428  5 Dy 3.24-3.51, 2 Tb 3.36-3.38, 1 Tm 3.54
Pm3 0.7010 0.8045 0.9572  5 Dy 3.24-3.51, 2 Tb 3.36-3.38, 1 Tm 3.54
Pm4 0.8045 0.7010 0.4572  5 Dy 3.24-3.51, 2 Tb 3.36-3.38, 1 Tm 3.54
Dy1 0.0194 0.5737 0.6872  2 Dy 3.23-3.56, 1 Pm 3.38, 1 Tm 3.44, 1 Tb 3.57
Dy2 0.1252 0.7463 0.0569  7 Dy 3.40-3.73, 1 Pm 3.51, 1 Tb 3.65, 1 Tm 3.77
Dy3 0.2537 0.8748 0.4431  7 Dy 3.40-3.73, 1 Pm 3.51, 1 Tb 3.65, 1 Tm 3.77
Dy4 0.2922 0.5034 0.8804  4 Dy 3.23-3.51, 3 Pm 3.24-3.43, 2 Tm 3.41-3.55
Dy5 0.4263 0.9806 0.8128  2 Dy 3.23-3.56, 1 Pm 3.38, 1 Tm 3.44, 1 Tb 3.57
Dy6 0.4966 0.7078 0.6196  4 Dy 3.23-3.51, 3 Pm 3.24-3.43, 2 Tm 3.41-3.55
Dy7 0.5034 0.2922 0.3804  4 Dy 3.23-3.51, 3 Pm 3.24-3.43, 2 Tm 3.41-3.55
Dy8 0.5737 0.0194 0.1872  2 Dy 3.23-3.56, 1 Pm 3.38, 1 Tm 3.44, 1 Tb 3.57
Dy9 0.7078 0.4966 0.1196  4 Dy 3.23-3.51, 3 Pm 3.24-3.43, 2 Tm 3.41-3.55
Dy10 0.7463 0.1252 0.5569  7 Dy 3.40-3.73, 1 Pm 3.51, 1 Tb 3.65, 1 Tm 3.77
Dy11 0.8748 0.2537 0.9431  7 Dy 3.40-3.73, 1 Pm 3.51, 1 Tb 3.65, 1 Tm 3.77
Dy12 0.9806 0.4263 0.3128  2 Dy 3.23-3.56, 1 Pm 3.38, 1 Tm 3.44, 1 Tb 3.57
Tm1 0.4077 0.5923 0.2500  8 Dy 3.41-3.77, 2 Pm 3.54
Tm2 0.5923 0.4077 0.7500  8 Dy 3.41-3.77, 2 Pm 3.54

Calculated values
- E_tot (eV per atom) = -4.51
- space-group type = C2/c, No. 15

---

Here is Rb3InB after structural relaxation from Alexandria via LeMat-Bulk. Energies are from PBE.

Cell: 6.3259 6.3259 6.3259 Å, 90.00 90.00 90.00°
Closest atoms and distances in Å follow each position.
Fractional positions:
Rb1 0.0000 0.0000 0.5000  2 B 3.16
Rb2 0.0000 0.5000 0.0000  2 B 3.16
Rb3 0.5000 0.0000 0.0000  2 B 3.16
In1 0.5000 0.5000 0.5000  12 Rb 4.47
B1 0.0000 0.0000 0.0000  6 Rb 3.16

Calculated values
- E_tot (eV per atom) = -1.56
- excess energy over the best structure of this formula in the dataset (eV per atom) = 0.000
- space-group type = Pm-3m, No. 221

---

Here is Sr2ZnCd2 after structural relaxation from Alexandria via LeMat-Bulk. Energies are from PBE.

Cell: 8.9189 8.9189 4.4314 Å, 90.00 90.00 90.00°
Closest atoms and distances in Å follow each position.
Fractional positions:
Sr1 0.1694 0.3306 0.0000  2 Zn 3.31, 6 Cd 3.41-3.46
Sr2 0.3306 0.8306 0.0000  2 Zn 3.31, 6 Cd 3.41-3.46
Sr3 0.6694 0.1694 0.0000  2 Zn 3.31, 6 Cd 3.41-3.46
Sr4 0.8306 0.6694 0.0000  2 Zn 3.31, 6 Cd 3.41-3.46
Zn1 0.0000 0.0000 0.0000  4 Sr 3.31
Zn2 0.5000 0.5000 0.0000  4 Sr 3.31
Cd1 0.1249 0.6249 0.5000  1 Cd 3.15, 6 Sr 3.41-3.46
Cd2 0.3751 0.1249 0.5000  1 Cd 3.15, 6 Sr 3.41-3.46
Cd3 0.6249 0.8751 0.5000  1 Cd 3.15, 6 Sr 3.41-3.46
Cd4 0.8751 0.3751 0.5000  1 Cd 3.15, 6 Sr 3.41-3.46

Calculated values
- E_tot (eV per atom) = -1.34
- excess energy over the best structure of this formula in the dataset (eV per atom) = 0.239
- space-group type = P4/mbm, No. 127

---

Here is ZnCu2Ni3 after structural relaxation from Alexandria via LeMat-Bulk. Energies are from PBE.

Cell: 4.6881 4.6881 8.1794 Å, 90.00 90.00 120.00°
Closest atoms and distances in Å follow each position.
Fractional positions:
Zn1 0.3333 0.6667 0.0000  6 Ni 2.46, 3 Cu 2.71, 3 Zn 2.71
Zn2 0.6667 0.3333 0.0000  6 Ni 2.46, 3 Cu 2.71, 3 Zn 2.71
Cu1 0.0000 0.0000 0.0000  6 Zn 2.71
Cu2 0.0000 0.0000 0.5000  6 Cu 2.71
Cu3 0.3333 0.6667 0.5000  6 Ni 2.45, 6 Cu 2.71
Cu4 0.6667 0.3333 0.5000  6 Ni 2.45, 6 Cu 2.71
Ni1 0.0000 0.5000 0.2507  4 Ni 2.34, 2 Cu 2.45, 2 Zn 2.46
Ni2 0.0000 0.5000 0.7493  4 Ni 2.34, 2 Cu 2.45, 2 Zn 2.46
Ni3 0.5000 0.0000 0.2507  4 Ni 2.34, 2 Cu 2.45, 2 Zn 2.46
Ni4 0.5000 0.0000 0.7493  4 Ni 2.34, 2 Cu 2.45, 2 Zn 2.46
Ni5 0.5000 0.5000 0.2507  4 Ni 2.34, 2 Cu 2.45, 2 Zn 2.46
Ni6 0.5000 0.5000 0.7493  4 Ni 2.34, 2 Cu 2.45, 2 Zn 2.46

Calculated values
- E_tot (eV per atom) = -4.24
- excess energy over the best structure of this formula in the dataset (eV per atom) = 0.155
- space-group type = P6/mmm, No. 191

---

Here is CaAcZnNi after structural relaxation from Alexandria via LeMat-Bulk. Energies are from PBE.

Cell: 4.2021 4.1882 11.9788 Å, 90.00 90.00 90.00°
Closest atoms and distances in Å follow each position.
Fractional positions:
Ca1 0.0000 0.0000 0.0000  4 Zn 3.09, 2 Ni 3.12
Ca2 0.0000 0.5000 0.5000  4 Zn 3.09, 2 Ni 3.12
Ac1 0.5000 0.0000 0.7235  4 Ni 3.13, 2 Zn 3.23
Ac2 0.5000 0.5000 0.2235  4 Ni 3.13, 2 Zn 3.23
Zn1 0.5000 0.0000 0.4292  2 Ni 2.56
Zn2 0.5000 0.5000 0.9292  2 Ni 2.56
Ni1 0.0000 0.0000 0.3065  2 Zn 2.56
Ni2 0.0000 0.5000 0.8065  2 Zn 2.56

Calculated values
- E_tot (eV per atom) = -3.54
- excess energy over the best structure of this formula in the dataset (eV per atom) = 0.000
- space-group type = Amm2, No. 38

---

Here is CsBaRu2Cl after structural relaxation from Alexandria via LeMat-Bulk. Energies are from PBE.

Cell: 5.1861 5.1861 11.8653 Å, 90.00 90.00 90.00°
Closest atoms and distances in Å follow each position.
Fractional positions:
Cs1 0.0000 0.0000 0.0000  4 Cl 3.67
Ba1 0.0000 0.0000 0.5000  4 Ru 2.59
Ru1 0.0000 0.5000 0.5000  2 Ba 2.59
Ru2 0.5000 0.0000 0.5000  2 Ba 2.59
Cl1 0.5000 0.5000 0.0000  4 Cs 3.67

Calculated values
- formation energy (no corrections) (eV/atom) = 1.19
- E_tot (eV per atom) = -3.45
- space-group type = P4/mmm, No. 123

---

Here is Co2Ir4Rh3 after structural relaxation from Alexandria via LeMat-Bulk. Energies are from PBE.

Cell: 7.6481 7.6481 7.6481 Å, 159.58 123.93 60.31°
Closest atoms and distances in Å follow each position.
Fractional positions:
Co1 0.1555 0.0000 0.1555  1 Co 2.24
Co2 0.8445 0.0000 0.8445  1 Co 2.24
Ir1 0.0226 0.3385 0.6841  2 Co 2.54, 3 Rh 2.60-2.65, 3 Ir 2.65-2.71
Ir2 0.3456 0.6615 0.6841  2 Co 2.54, 3 Rh 2.60-2.65, 3 Ir 2.65-2.71
Ir3 0.6544 0.3385 0.3159  2 Co 2.54, 3 Rh 2.60-2.65, 3 Ir 2.65-2.71
Ir4 0.9774 0.6615 0.3159  2 Co 2.54, 3 Rh 2.60-2.65, 3 Ir 2.65-2.71
Rh1 0.3304 0.8304 0.5000  6 Ir 2.60-2.65, 4 Rh 2.62-2.71
Rh2 0.5000 0.5000 0.0000  6 Rh 2.62-2.71, 4 Co 2.82
Rh3 0.6696 0.1696 0.5000  6 Ir 2.60-2.65, 4 Rh 2.62-2.71

Calculated values
- E_tot (eV per atom) = -7.69
- excess energy over the best structure of this formula in the dataset (eV per atom) = 0.231
- space-group type = Immm, No. 71

---

Here is Na3ReH after structural relaxation from Alexandria via LeMat-Bulk. Energies are from PBE.

Cell: 4.6757 4.6757 4.6757 Å, 90.00 90.00 90.00°
Closest atoms and distances in Å follow each position.
Fractional positions:
Na1 0.0000 0.0000 0.5000  2 H 2.34
Na2 0.0000 0.5000 0.0000  2 H 2.34
Na3 0.5000 0.0000 0.0000  2 H 2.34
Re1 0.5000 0.5000 0.5000  12 Na 3.31
H1 0.0000 0.0000 0.0000  6 Na 2.34

Calculated values
- E_tot (eV per atom) = -2.87
- excess energy over the best structure of this formula in the dataset (eV per atom) = 0.000
- space-group type = Pm-3m, No. 221

---

| no. | DOS at the Fermi energy (states/eV/atom) |
| --- | --- |
| 1 | 1.34 |
| 2 | 1.32 |
| 3 | 1.13 |
| 4 | 0.52 |
| 5 | 0.69 |
| 6 | 1.77 |
| 7 | 1.46 |
| 8 | 0.34 |